No. 1
An optimized crystal structure of HgPdSO, computed with PBE.

Geometry as CIF:
```
data_HgPdSO
_cell_length_a 3.6557
_cell_length_b 3.6557
_cell_length_c 12.5095
_cell_angle_alpha 90.00
_cell_angle_beta 90.00
_cell_angle_gamma 120.00
_space_group_name_H-M_alt 'P 63 m c'
_space_group_IT_number 186
_space_group_name_Hall 'P 6c -2c'
loop_
_atom_site_label
_atom_site_type_symbol
_atom_site_fract_x
_atom_site_fract_y
_atom_site_fract_z
Hg1 Hg 0.3333 0.6667 0.0000
Pd1 Pd 0.0000 0.0000 0.2411
S1 S 0.3333 0.6667 0.3208
O1 O 0.0000 0.0000 0.0690
```

Properties
The theoretical density comes out at 8.145 g cm⁻³. The value obtained for the raw total energy is -29.44 eV per cell. The value obtained for the energy above the most stable polymorph in this dataset is 232 meV per atom.

---

No. 2
An optimized crystal structure of HgPdSO, computed with PBE.

Geometry as CIF:
```
data_HgPdSO
_cell_length_a 6.304
_cell_length_b 7.324
_cell_length_c 6.025
_cell_angle_alpha 90.00
_cell_angle_beta 90.00
_cell_angle_gamma 90.00
_space_group_name_H-M_alt 'P c a 21'
_space_group_IT_number 29
loop_
_space_group_symop_operation_xyz
'x,y,z'
'-x,-y,z+1/2'
'-x+1/2,y,z+1/2'
'x+1/2,-y,z'
loop_
_atom_site_label
_atom_site_type_symbol
_atom_site_fract_x
_atom_site_fract_y
_atom_site_fract_z
Hg1 Hg 0.034 0.154 0.000
Pd1 Pd 0.087 0.695 0.045
S1 S 0.120 0.555 0.698
O1 O 0.119 0.116 0.400
```

Properties
The theoretical density comes out at 8.479 g cm⁻³. The value obtained for the raw total energy is -60.00 eV per cell. The value obtained for the energy above the most stable polymorph in this dataset is 162 meV per atom.

---

No. 3
An optimized crystal structure of HgPdSO, computed with PBE.

Geometry as CIF:
```
data_HgPdSO
_cell_length_a 4.715
_cell_length_b 4.715
_cell_length_c 6.793
_cell_angle_alpha 90.00
_cell_angle_beta 90.00
_cell_angle_gamma 90.00
_space_group_name_H-M_alt 'P 4/n m m'
_space_group_IT_number 129
loop_
_space_group_symop_operation_xyz
'x,y,z'
'-x,-y,-z'
'-y+1/2,x,z'
'y+1/2,-x,-z'
'-x+1/2,-y+1/2,z'
'x+1/2,y+1/2,-z'
'y,-x+1/2,z'
'-y,x+1/2,-z'
'x+1/2,-y,-z'
'-x+1/2,y,z'
'-y,-x,-z'
'y,x,z'
'-x,y+1/2,-z'
'x,-y+1/2,z'
'y+1/2,x+1/2,-z'
'-y+1/2,-x+1/2,z'
loop_
_atom_site_label
_atom_site_type_symbol
_atom_site_fract_x
_atom_site_fract_y
_atom_site_fract_z
Hg1 Hg 0.250 0.250 0.181
Pd1 Pd 0.250 0.250 0.582
S1 S 0.250 0.750 0.500
O1 O 0.250 0.250 0.880
```

Properties
The theoretical density comes out at 7.808 g cm⁻³. The value obtained for the raw total energy is -28.41 eV per cell. The value obtained for the energy above the most stable polymorph in this dataset is 361 meV per atom.

---

No. 4
An optimized crystal structure of HgPdSO, computed with PBE.

Geometry as CIF:
```
data_HgPdSO
_cell_length_a 6.495
_cell_length_b 5.815
_cell_length_c 7.511
_cell_angle_alpha 90.00
_cell_angle_beta 90.71
_cell_angle_gamma 90.00
_space_group_name_H-M_alt 'P 1 21 1'
_space_group_IT_number 4
loop_
_space_group_symop_operation_xyz
'x,y,z'
'-x,y+1/2,-z'
loop_
_atom_site_label
_atom_site_type_symbol
_atom_site_fract_x
_atom_site_fract_y
_atom_site_fract_z
Hg1 Hg 0.147 0.000 0.139
Hg2 Hg 0.353 0.500 0.137
Pd1 Pd 0.241 0.199 0.616
Pd2 Pd 0.254 0.699 0.616
S1 S 0.044 0.944 0.815
S2 S 0.453 0.445 0.812
O1 O 0.030 0.454 0.604
O2 O 0.463 0.954 0.606
```

Properties
The theoretical density comes out at 8.315 g cm⁻³. The value obtained for the raw total energy is -58.96 eV per cell. The value obtained for the energy above the most stable polymorph in this dataset is 227 meV per atom.

---

No. 5
An optimized crystal structure of HgPdSO, computed with PBE.

Geometry as CIF:
```
data_HgPdSO
_cell_length_a 6.968
_cell_length_b 3.260
_cell_length_c 12.200
_cell_angle_alpha 90.00
_cell_angle_beta 90.00
_cell_angle_gamma 90.00
_space_group_name_H-M_alt 'P n m a'
_space_group_IT_number 62
loop_
_space_group_symop_operation_xyz
'x,y,z'
'-x,-y,-z'
'-x+1/2,-y,z+1/2'
'x+1/2,y,-z+1/2'
'x+1/2,-y+1/2,-z+1/2'
'-x+1/2,y+1/2,z+1/2'
'-x,y+1/2,-z'
'x,-y+1/2,z'
loop_
_atom_site_label
_atom_site_type_symbol
_atom_site_fract_x
_atom_site_fract_y
_atom_site_fract_z
Hg1 Hg 0.049 0.250 0.238
Pd1 Pd 0.242 0.250 0.976
S1 S 0.203 0.250 0.603
O1 O 0.215 0.750 0.862
```

Properties
The theoretical density comes out at 8.510 g cm⁻³. The value obtained for the raw total energy is -60.67 eV per cell. The value obtained for the energy above the most stable polymorph in this dataset is 120 meV per atom.

---

No. 6
An optimized crystal structure of HgPdSO, computed with PBE.

Geometry as CIF:
```
data_HgPdSO
_cell_length_a 6.288
_cell_length_b 6.581
_cell_length_c 13.816
_cell_angle_alpha 90.00
_cell_angle_beta 90.00
_cell_angle_gamma 90.00
_space_group_name_H-M_alt 'P b c a'
_space_group_IT_number 61
loop_
_space_group_symop_operation_xyz
'x,y,z'
'-x,-y,-z'
'-x+1/2,-y,z+1/2'
'x+1/2,y,-z+1/2'
'x+1/2,-y+1/2,-z'
'-x+1/2,y+1/2,z'
'-x,y+1/2,-z+1/2'
'x,-y+1/2,z+1/2'
loop_
_atom_site_label
_atom_site_type_symbol
_atom_site_fract_x
_atom_site_fract_y
_atom_site_fract_z
Hg1 Hg 0.002 0.011 0.249
Pd1 Pd 0.014 0.237 0.991
S1 S 0.235 0.001 0.556
O1 O 0.141 0.239 0.816
```

Properties
The theoretical density comes out at 8.250 g cm⁻³. The value obtained for the raw total energy is -120.91 eV per cell. The value obtained for the energy above the most stable polymorph in this dataset is 133 meV per atom.

---

No. 7
An optimized crystal structure of HgPdSO, computed with PBE.

Geometry as CIF:
```
data_HgPdSO
_cell_length_a 3.934
_cell_length_b 3.934
_cell_length_c 8.614
_cell_angle_alpha 90.00
_cell_angle_beta 90.00
_cell_angle_gamma 90.00
_space_group_name_H-M_alt 'P 4/n m m'
_space_group_IT_number 129
loop_
_space_group_symop_operation_xyz
'x,y,z'
'-x,-y,-z'
'-y+1/2,x,z'
'y+1/2,-x,-z'
'-x+1/2,-y+1/2,z'
'x+1/2,y+1/2,-z'
'y,-x+1/2,z'
'-y,x+1/2,-z'
'x+1/2,-y,-z'
'-x+1/2,y,z'
'-y,-x,-z'
'y,x,z'
'-x,y+1/2,-z'
'x,-y+1/2,z'
'y+1/2,x+1/2,-z'
'-y+1/2,-x+1/2,z'
loop_
_atom_site_label
_atom_site_type_symbol
_atom_site_fract_x
_atom_site_fract_y
_atom_site_fract_z
Hg1 Hg 0.250 0.750 0.000
Pd1 Pd 0.250 0.250 0.252
S1 S 0.250 0.250 0.686
O1 O 0.250 0.250 0.511
```

Properties
The theoretical density comes out at 8.844 g cm⁻³. The value obtained for the raw total energy is -29.45 eV per cell. The value obtained for the energy above the most stable polymorph in this dataset is 230 meV per atom.

---

No. 8
An optimized crystal structure of HgPdSO, computed with PBE.

Geometry as CIF:
```
data_HgPdSO
_cell_length_a 3.275
_cell_length_b 14.194
_cell_length_c 5.529
_cell_angle_alpha 90.00
_cell_angle_beta 90.00
_cell_angle_gamma 90.00
_space_group_name_H-M_alt 'C m c m'
_space_group_IT_number 63
_space_group_name_Hall '-C 2c 2'
loop_
_atom_site_label
_atom_site_type_symbol
_atom_site_fract_x
_atom_site_fract_y
_atom_site_fract_z
Hg1 Hg 0.000 0.141 0.250
Pd1 Pd 0.000 0.425 0.250
S1 S 0.000 0.188 0.750
O1 O 0.000 0.000 0.000
```

Properties
The theoretical density comes out at 9.176 g cm⁻³. The value obtained for the raw total energy is -56.75 eV per cell. The value obtained for the energy above the most stable polymorph in this dataset is 365 meV per atom.

---

No. 9
An optimized crystal structure of HgPdSO, computed with PBE.

Geometry as CIF:
```
data_HgPdSO
_cell_length_a 3.541
_cell_length_b 12.518
_cell_length_c 5.956
_cell_angle_alpha 90.00
_cell_angle_beta 90.00
_cell_angle_gamma 90.00
_space_group_name_H-M_alt 'C m c 21'
_space_group_IT_number 36
loop_
_space_group_symop_operation_xyz
'x,y,z'
'-x,-y,z+1/2'
'-x,y,z'
'x,-y,z+1/2'
'x+1/2,y+1/2,z'
'-x+1/2,-y+1/2,z+1/2'
'-x+1/2,y+1/2,z'
'x+1/2,-y+1/2,z+1/2'
loop_
_atom_site_label
_atom_site_type_symbol
_atom_site_fract_x
_atom_site_fract_y
_atom_site_fract_z
Hg1 Hg 0.000 0.238 0.000
Pd1 Pd 0.000 0.499 0.223
S1 S 0.000 0.093 0.462
O1 O 0.000 0.385 0.476
```

Properties
The theoretical density comes out at 8.932 g cm⁻³. The value obtained for the raw total energy is -59.92 eV per cell. The value obtained for the energy above the most stable polymorph in this dataset is 167 meV per atom.

---

> What is the formula in the sixth record?

HgPdSO

---

What did the third record say?
An optimized crystal structure of HgPdSO, computed with PBE.

Geometry as CIF:
```
data_HgPdSO
_cell_length_a 4.715
_cell_length_b 4.715
_cell_length_c 6.793
_cell_angle_alpha 90.00
_cell_angle_beta 90.00
_cell_angle_gamma 90.00
_space_group_name_H-M_alt 'P 4/n m m'
_space_group_IT_number 129
loop_
_space_group_symop_operation_xyz
'x,y,z'
'-x,-y,-z'
'-y+1/2,x,z'
'y+1/2,-x,-z'
'-x+1/2,-y+1/2,z'
'x+1/2,y+1/2,-z'
'y,-x+1/2,z'
'-y,x+1/2,-z'
'x+1/2,-y,-z'
'-x+1/2,y,z'
'-y,-x,-z'
'y,x,z'
'-x,y+1/2,-z'
'x,-y+1/2,z'
'y+1/2,x+1/2,-z'
'-y+1/2,-x+1/2,z'
loop_
_atom_site_label
_atom_site_type_symbol
_atom_site_fract_x
_atom_site_fract_y
_atom_site_fract_z
Hg1 Hg 0.250 0.250 0.181
Pd1 Pd 0.250 0.250 0.582
S1 S 0.250 0.750 0.500
O1 O 0.250 0.250 0.880
```

Properties
The theoretical density comes out at 7.808 g cm⁻³. The value obtained for the raw total energy is -28.41 eV per cell. The value obtained for the energy above the most stable polymorph in this dataset is 361 meV per atom.